1.
# PBE Cu2Ni2Pt, optimized geometry
# * offset from the most stable computed form: 0.095 eV per atom
# * calculated density: 11.7 Mg/m³
# * energy of formation from the pure elements: 0.114 eV per atom
# * V: 62.2 Å³/f.u.
# * total magnetic moment: 0.013 μB/atom
data_Cu2Ni2Pt
_space_group_name_H-M_alt 'P 1'
_space_group_IT_number 1
_space_group_name_Hall 'P 1'
_cell_length_a 6.820
_cell_length_b 6.820
_cell_length_c 2.675
_cell_angle_alpha 90.00
_cell_angle_beta 90.00
_cell_angle_gamma 90.00
loop_
_atom_site_label
_atom_site_fract_x
_atom_site_fract_y
_atom_site_fract_z
Cu1 0.125 0.375 0.000
Cu2 0.375 0.875 0.000
Cu3 0.625 0.125 0.000
Cu4 0.875 0.625 0.000
Ni1 0.173 0.673 0.500
Ni2 0.327 0.173 0.500
Ni3 0.673 0.827 0.500
Ni4 0.827 0.327 0.500
Pt1 0.000 0.000 0.000
Pt2 0.500 0.500 0.000


2.
# PBE Cu6NiPt2, optimized geometry
# * offset from the most stable computed form: 0.008 eV per atom
# * calculated density: 11.9 Mg/m³
# * energy of formation from the pure elements: -0.034 eV per atom
# * V: 115.9 Å³/f.u.
# * total magnetic moment: 0.000 μB/atom
data_Cu6NiPt2
_space_group_name_H-M_alt 'P 1'
_space_group_IT_number 1
_space_group_name_Hall 'P 1'
_cell_length_a 6.500
_cell_length_b 6.500
_cell_length_c 6.732
_cell_angle_alpha 115.02
_cell_angle_beta 115.02
_cell_angle_gamma 85.44
loop_
_atom_site_label
_atom_site_fract_x
_atom_site_fract_y
_atom_site_fract_z
Cu1 0.091 0.831 0.544
Cu2 0.129 0.429 0.367
Cu3 0.169 0.909 0.956
Cu4 0.295 0.495 0.806
Cu5 0.429 0.129 0.867
Cu6 0.495 0.295 0.306
Cu7 0.505 0.705 0.694
Cu8 0.571 0.871 0.133
Cu9 0.705 0.505 0.194
Cu10 0.831 0.091 0.044
Cu11 0.871 0.571 0.633
Cu12 0.909 0.169 0.456
Ni1 0.353 0.647 0.250
Ni2 0.647 0.353 0.750
Pt1 0.068 0.288 0.920
Pt2 0.288 0.068 0.420
Pt3 0.712 0.932 0.580
Pt4 0.932 0.712 0.080


3.
# PBE Cu2NiPt, optimized geometry
# * calculated density: 12.5 Mg/m³
# * energy of formation from the pure elements: -0.052 eV per atom
# * V: 50.7 Å³/f.u.
# * total magnetic moment: 0.068 μB/atom
data_Cu2NiPt
_space_group_name_H-M_alt 'P 1'
_space_group_IT_number 1
_space_group_name_Hall 'P 1'
_cell_length_a 2.693
_cell_length_b 2.693
_cell_length_c 6.999
_cell_angle_alpha 90.00
_cell_angle_beta 90.00
_cell_angle_gamma 90.00
loop_
_atom_site_label
_atom_site_fract_x
_atom_site_fract_y
_atom_site_fract_z
Cu1 0.000 0.000 0.000
Cu2 0.500 0.500 0.239
Ni1 0.000 0.000 0.471
Pt1 0.500 0.500 0.731


4.
# PBE CuNi2Pt, optimized geometry
# * calculated density: 12.5 Mg/m³
# * energy of formation from the pure elements: -0.065 eV per atom
# * V: 49.8 Å³/f.u.
# * total magnetic moment: 0.381 μB/atom
data_CuNi2Pt
_space_group_name_H-M_alt 'P 1'
_space_group_IT_number 1
_space_group_name_Hall 'P 1'
_cell_length_a 3.691
_cell_length_b 3.691
_cell_length_c 7.312
_cell_angle_alpha 90.00
_cell_angle_beta 90.00
_cell_angle_gamma 90.00
loop_
_atom_site_label
_atom_site_fract_x
_atom_site_fract_y
_atom_site_fract_z
Cu1 0.000 0.000 0.000
Cu2 0.500 0.500 0.500
Ni1 0.000 0.000 0.500
Ni2 0.000 0.500 0.750
Ni3 0.500 0.000 0.250
Ni4 0.500 0.500 0.000
Pt1 0.000 0.500 0.250
Pt2 0.500 0.000 0.750


5.
# PBE Cu3Ni2Pt4, optimized geometry
# * offset from the most stable computed form: 0.177 eV per atom
# * calculated density: 14.2 Mg/m³
# * energy of formation from the pure elements: 0.068 eV per atom
# * V: 126.9 Å³/f.u.
# * total magnetic moment: 0.215 μB/atom
data_Cu3Ni2Pt4
_space_group_name_H-M_alt 'P 1'
_space_group_IT_number 1
_space_group_name_Hall 'P 1'
_cell_length_a 7.351
_cell_length_b 7.351
_cell_length_c 7.351
_cell_angle_alpha 159.20
_cell_angle_beta 115.07
_cell_angle_gamma 68.99
loop_
_atom_site_label
_atom_site_fract_x
_atom_site_fract_y
_atom_site_fract_z
Cu1 0.000 0.000 0.000
Cu2 0.343 0.843 0.500
Cu3 0.657 0.157 0.500
Ni1 0.332 0.500 0.832
Ni2 0.668 0.500 0.168
Pt1 0.009 0.834 0.175
Pt2 0.341 0.166 0.175
Pt3 0.659 0.834 0.825
Pt4 0.991 0.166 0.825


6.
# PBE CuNi2Pt, optimized geometry
# * calculated density: 12.5 Mg/m³
# * energy of formation from the pure elements: -0.040 eV per atom
# * V: 50.0 Å³/f.u.
# * total magnetic moment: 0.287 μB/atom
data_CuNi2Pt
_space_group_name_H-M_alt 'P 1'
_space_group_IT_number 1
_space_group_name_Hall 'P 1'
_cell_length_a 2.640
_cell_length_b 4.244
_cell_length_c 4.466
_cell_angle_alpha 90.00
_cell_angle_beta 90.00
_cell_angle_gamma 90.00
loop_
_atom_site_label
_atom_site_fract_x
_atom_site_fract_y
_atom_site_fract_z
Cu1 0.000 0.000 0.000
Ni1 0.500 0.000 0.514
Ni2 0.500 0.500 0.847
Pt1 0.000 0.500 0.350


7.
# PBE CuNi8Pt6, optimized geometry
# * offset from the most stable computed form: 0.000 eV per atom
# * calculated density: 14.4 Mg/m³
# * energy of formation from the pure elements: -0.076 eV per atom
# * V: 195.8 Å³/f.u.
# * total magnetic moment: 0.492 μB/atom
data_CuNi8Pt6
_space_group_name_H-M_alt 'P 1'
_space_group_IT_number 1
_space_group_name_Hall 'P 1'
_cell_length_a 4.614
_cell_length_b 6.954
_cell_length_c 6.975
_cell_angle_alpha 95.06
_cell_angle_beta 108.65
_cell_angle_gamma 109.01
loop_
_atom_site_label
_atom_site_fract_x
_atom_site_fract_y
_atom_site_fract_z
Cu1 0.000 0.000 0.000
Ni1 0.062 0.468 0.333
Ni2 0.271 0.864 0.333
Ni3 0.332 0.333 0.667
Ni4 0.397 0.801 0.000
Ni5 0.603 0.199 0.000
Ni6 0.668 0.667 0.333
Ni7 0.729 0.136 0.667
Ni8 0.938 0.532 0.667
Pt1 0.143 0.940 0.672
Pt2 0.194 0.396 0.993
Pt3 0.475 0.275 0.342
Pt4 0.525 0.725 0.658
Pt5 0.806 0.604 0.007
Pt6 0.857 0.060 0.328


8.
# PBE Cu2Ni7Pt3, optimized geometry
# * calculated density: 11.6 Mg/m³
# * energy of formation from the pure elements: 0.125 eV per atom
# * V: 160.4 Å³/f.u.
# * total magnetic moment: 0.489 μB/atom
data_Cu2Ni7Pt3
_space_group_name_H-M_alt 'P 1'
_space_group_IT_number 1
_space_group_name_Hall 'P 1'
_cell_length_a 11.903
_cell_length_b 11.903
_cell_length_c 3.643
_cell_angle_alpha 90.00
_cell_angle_beta 90.00
_cell_angle_gamma 161.89
loop_
_atom_site_label
_atom_site_fract_x
_atom_site_fract_y
_atom_site_fract_z
Cu1 0.155 0.845 0.000
Cu2 0.845 0.155 0.000
Ni1 0.000 0.000 0.000
Ni2 0.077 0.923 0.500
Ni3 0.275 0.725 0.000
Ni4 0.423 0.577 0.000
Ni5 0.577 0.423 0.000
Ni6 0.725 0.275 0.000
Ni7 0.923 0.077 0.500
Pt1 0.345 0.655 0.500
Pt2 0.500 0.500 0.500
Pt3 0.655 0.345 0.500


> Look up the energy of formation from the pure elements of the fifth one.

0.068 eV per atom